This record from Alexandria describes a relaxed NpNbMoO6 crystal. The functional is PBE with a Hubbard U.

Calculated values
space group	P-31c
energy	-81.72	eV per formula unit

a = 5.353 Å, b = 5.353 Å, c = 9.787 Å
α = 90.00°, β = 90.00°, γ = 120.00°
Atoms (fractional coordinates):
Np 0.000 0.000 0.000
Np 0.000 0.000 0.500
Nb 0.333 0.667 0.250
Nb 0.667 0.333 0.750
Mo 0.333 0.667 0.750
Mo 0.667 0.333 0.250
O 0.017 0.350 0.135
O 0.017 0.667 0.365
O 0.333 0.350 0.365
O 0.333 0.983 0.135
O 0.350 0.017 0.635
O 0.350 0.333 0.865
O 0.650 0.667 0.135
O 0.650 0.983 0.365
O 0.667 0.017 0.865
O 0.667 0.650 0.635
O 0.983 0.333 0.635
O 0.983 0.650 0.865